{"formula": "PmSc3Bi2", "functional": "PBE", "state": "optimized geometry", "cell": [[9.041, -2.182, 0.000], [9.041, 2.182, 0.000], [-3.506, 0.000, 8.315]], "species": ["Pm", "Pm", "Sc", "Sc", "Sc", "Sc", "Sc", "Sc", "Bi", "Bi", "Bi", "Bi"], "fractional_positions": [[0.111, 0.111, 0.126], [0.889, 0.889, 0.874], [0.067, 0.067, 0.675], [0.309, 0.309, 0.105], [0.360, 0.360, 0.511], [0.640, 0.640, 0.489], [0.691, 0.691, 0.895], [0.933, 0.933, 0.325], [0.246, 0.246, 0.711], [0.487, 0.487, 0.174], [0.513, 0.513, 0.826], [0.754, 0.754, 0.289]], "crystal_system": "monoclinic", "e_tot_ev_per_atom": -5.7115, "e_form_ev_per_atom": -0.46, "total_magnetization_mub_per_cell": 0.8, "sg": "C2/m, No. 12"}

{"formula": "AcHgPd3Pb", "functional": "PBE", "state": "optimized geometry", "cell": [[3.068, -6.373, 0.000], [3.068, 6.373, 0.000], [0.000, 0.000, 7.464]], "species": ["Ac", "Ac", "Hg", "Hg", "Pd", "Pd", "Pd", "Pd", "Pd", "Pd", "Pb", "Pb"], "fractional_positions": [[0.161, 0.839, 0.750], [0.839, 0.161, 0.250], [0.416, 0.584, 0.750], [0.584, 0.416, 0.250], [0.229, 0.229, 0.000], [0.229, 0.229, 0.500], [0.357, 0.643, 0.250], [0.643, 0.357, 0.750], [0.771, 0.771, 0.000], [0.771, 0.771, 0.500], [0.139, 0.861, 0.250], [0.861, 0.139, 0.750]], "crystal_system": "orthorhombic", "e_tot_ev_per_atom": -4.3120, "e_form_ev_per_atom": -0.36, "total_magnetization_mub_per_cell": 0.0, "sg": "Cmcm, No. 63"}

{"formula": "LiFeMo2Cl", "functional": "PBE", "state": "optimized geometry", "cell": [[4.468, 0.000, 0.000], [0.000, 4.468, 0.000], [0.000, 0.000, 5.122]], "species": ["Li", "Fe", "Mo", "Mo", "Cl"], "fractional_positions": [[0.000, 0.000, 0.000], [0.500, 0.500, 0.500], [0.000, 0.500, 0.500], [0.500, 0.000, 0.500], [0.500, 0.500, 0.000]], "crystal_system": "tetragonal", "e_tot_ev_per_atom": -5.5793, "formation_energy_uncorrected_kj_per_mol_atoms": 116, "total_magnetization_mub_per_cell": 2.8, "sg": "P4/mmm, No. 123"}

{"formula": "CdAgRh4", "functional": "PBE", "state": "optimized geometry", "cell": [[0.000, 3.676, 3.676], [3.676, 0.000, 3.676], [3.676, 3.676, 0.000]], "species": ["Cd", "Ag", "Rh", "Rh", "Rh", "Rh"], "fractional_positions": [[0.000, 0.000, 0.000], [0.250, 0.250, 0.250], [0.125, 0.625, 0.625], [0.625, 0.125, 0.625], [0.625, 0.625, 0.125], [0.625, 0.625, 0.625]], "crystal_system": "cubic", "e_tot_ev_per_atom": -5.3092, "e_form_ev_per_atom": 0.22, "total_magnetization_mub_per_cell": 1.8, "sg": "F-43m, No. 216"}